Here is crystalline FeSnP2O8 at its relaxed geometry from the Alexandria database. Energies are from GGA+U.

## Properties
ΔE to the lowest computed polymorph   0.0 meV per atom
Calculated volume   12.7 Å³ per atom
Space-group type   P2_1/m (11)

Geometry as extended XYZ:
```
24
Lattice="5.016 0.000 0.000 0.000 6.053 0.000 -0.174 0.000 10.076" Properties=species:S:1:pos:R:3 pbc="T T T"
Fe 0.260 1.513 2.264
Fe 4.582 4.540 7.812
Sn 2.093 1.513 7.271
Sn 2.749 4.540 2.805
P 0.596 4.540 0.960
P 1.908 4.540 5.968
P 2.934 1.513 4.109
P 4.246 1.513 9.117
O 0.589 4.540 9.539
O 0.738 1.513 8.772
O 1.177 3.313 6.657
O 1.177 5.766 6.657
O 1.354 3.343 1.678
O 1.354 5.736 1.678
O 1.439 1.513 3.904
O 1.544 4.540 4.457
O 3.298 1.513 5.619
O 3.403 4.540 6.172
O 3.488 0.317 8.399
O 3.488 2.710 8.399
O 3.665 0.287 3.419
O 3.665 2.740 3.419
O 4.104 4.540 1.305
O 4.253 1.513 0.537
```